Model a:
Entry from Alexandria: a relaxed LiPu2Ge3 crystal (GGA-PBE).

a = 8.6226 Å, b = 8.3878 Å, c = 5.7815 Å
α = 72.33°, β = 67.96°, γ = 39.71°
Positions (direct):
Li 0.1669 0.1669 0.8331
Li 0.8331 0.8331 0.1669
Pu 0.2500 0.2500 0.2500
Pu 0.2574 0.7426 0.7426
Pu 0.7426 0.2574 0.2574
Pu 0.7500 0.7500 0.7500
Ge 0.1599 0.6718 0.3282
Ge 0.3282 0.8401 0.1599
Ge 0.3312 0.3312 0.6688
Ge 0.6688 0.6688 0.3312
Ge 0.6718 0.1599 0.8401
Ge 0.8401 0.3282 0.6718

As for the size of the total moment: 1.89 μB/atom. The value obtained for the density of states at the Fermi level is 17.83 states/eV/f.u.


Model b:
Entry from Alexandria: a relaxed LiPu2Ge3 crystal (GGA-PBE).

a = 3.9320 Å, b = 4.2951 Å, c = 7.4247 Å
α = 90.00°, β = 90.00°, γ = 90.00°
Positions (direct):
Li 0.0000 0.0000 0.0000
Pu 0.5000 0.0000 0.6599
Pu 0.5000 0.5000 0.1856
Ge 0.0000 0.0000 0.3270
Ge 0.0000 0.5000 0.5138
Ge 0.0000 0.5000 0.8507

As for the size of the total moment: 0.03 μB/atom. The value obtained for the density of states at the Fermi level is 23.48 states/eV/f.u.


Stability ranking, top entry: model a; the second entry is 5.8 kJ/mol of atoms less favorable.


Model a:
Entry from Alexandria: a relaxed RbLiGe crystal (GGA-PBE).

a = 4.1342 Å, b = 5.2268 Å, c = 10.6959 Å
α = 83.33°, β = 89.84°, γ = 90.00°
Positions (direct):
Rb 0.2477 0.2940 0.3084
Rb 0.7523 0.7060 0.6916
Li 0.2506 0.1416 0.9261
Li 0.7494 0.8584 0.0739
Ge 0.2503 0.6355 0.9631
Ge 0.7497 0.3645 0.0369

As for the size of the total moment: 0.00 μB/atom. The value obtained for the density of states at the Fermi level is 0.98 states/eV/f.u.


Model b:
Entry from Alexandria: a relaxed RbLiGe crystal (GGA-PBE).

a = 3.9451 Å, b = 4.3488 Å, c = 12.2407 Å
α = 100.16°, β = 90.30°, γ = 90.09°
Positions (direct):
Rb 0.2440 0.3417 0.1796
Rb 0.7560 0.6583 0.8204
Li 0.2487 0.9634 0.4249
Li 0.7513 0.0366 0.5751
Ge 0.2512 0.5345 0.5693
Ge 0.7488 0.4655 0.4307

As for the size of the total moment: 0.00 μB/atom. The value obtained for the density of states at the Fermi level is 0.94 states/eV/f.u.


Stability ranking, top entry: model a; the second entry is 0.6 kJ/mol of atoms less favorable.


Model a:
Entry from Alexandria: a relaxed RbLiGe crystal (GGA-PBE).

a = 4.5812 Å, b = 4.5818 Å, c = 12.0567 Å
α = 96.54°, β = 94.12°, γ = 119.89°
Positions (direct):
Rb 0.0000 0.0000 0.0000
Rb 0.2729 0.3169 0.6037
Li 0.1382 0.1582 0.3019
Li 0.8049 0.4921 0.3020
Ge 0.4254 0.7721 0.2017
Ge 0.5171 0.8781 0.4019

As for the size of the total moment: 0.00 μB/atom. The value obtained for the density of states at the Fermi level is 0.22 states/eV/f.u.


Model b:
Entry from Alexandria: a relaxed RbLiGe crystal (GGA-PBE).

a = 4.6036 Å, b = 4.6038 Å, c = 12.0359 Å
α = 80.18°, β = 79.79°, γ = 60.10°
Positions (direct):
Rb 0.2373 0.2484 0.3002
Rb 0.7627 0.7516 0.6998
Li 0.3400 0.3389 0.9793
Li 0.6600 0.6611 0.0207
Ge 0.0324 0.0288 0.8996
Ge 0.9676 0.9712 0.1004

As for the size of the total moment: 0.00 μB/atom. The value obtained for the density of states at the Fermi level is 0.19 states/eV/f.u.


Stability ranking, top entry: model b; the second entry is 0.7 kJ/mol of atoms less favorable.


Model a:
Entry from Alexandria: a relaxed RbLiGe crystal (GGA-PBE).

a = 14.4480 Å, b = 14.4480 Å, c = 14.4480 Å
α = 165.97°, β = 165.97°, γ = 19.89°
Positions (direct):
Rb 0.0884 0.0884 0.0000
Rb 0.9116 0.9116 0.0000
Li 0.2236 0.2236 0.0000
Li 0.7764 0.7764 0.0000
Ge 0.3244 0.3244 0.0000
Ge 0.6756 0.6756 0.0000

As for the size of the total moment: 0.00 μB/atom. The value obtained for the density of states at the Fermi level is 2.62 states/eV/f.u.


Model b:
Entry from Alexandria: a relaxed RbLiGe crystal (GGA-PBE).

a = 3.9712 Å, b = 4.2882 Å, c = 12.2587 Å
α = 90.00°, β = 98.61°, γ = 90.00°
Positions (direct):
Rb 0.0000 0.0000 0.0000
Rb 0.3195 0.5000 0.6426
Li 0.1174 0.5000 0.2444
Li 0.6857 0.5000 0.3903
Ge 0.1820 0.0000 0.3890
Ge 0.6181 0.0000 0.2497

As for the size of the total moment: 0.00 μB/atom. The value obtained for the density of states at the Fermi level is 0.88 states/eV/f.u.


Stability ranking, top entry: model b; the second entry is 18.1 kJ/mol of atoms less favorable.


Model a:
Entry from Alexandria: a relaxed RbLiGe crystal (GGA-PBE).

a = 4.0531 Å, b = 4.8955 Å, c = 11.5941 Å
α = 92.27°, β = 92.52°, γ = 112.32°
Positions (direct):
Rb 0.0000 0.0000 0.0000
Rb 0.3331 0.4616 0.6144
Li 0.1176 0.1240 0.2782
Li 0.5714 0.9858 0.4090
Ge 0.3829 0.6564 0.2126
Ge 0.8682 0.5819 0.3515

As for the size of the total moment: 0.00 μB/atom. The value obtained for the density of states at the Fermi level is 1.26 states/eV/f.u.


Model b:
Entry from Alexandria: a relaxed RbLiGe crystal (GGA-PBE).

a = 3.9980 Å, b = 4.2291 Å, c = 12.3868 Å
α = 80.23°, β = 88.83°, γ = 89.96°
Positions (direct):
Rb 0.0000 0.0000 0.0000
Rb 0.4815 0.6823 0.6457
Li 0.4925 0.8773 0.2510
Li 0.9833 0.8053 0.3949
Ge 0.4820 0.3065 0.3930
Ge 0.9922 0.3759 0.2532

As for the size of the total moment: 0.00 μB/atom. The value obtained for the density of states at the Fermi level is 1.00 states/eV/f.u.


Stability ranking, top entry: model b; the second entry is 2.1 kJ/mol of atoms less favorable.


Model a:
Entry from Alexandria: a relaxed RbLi3Ge crystal (GGA-PBE).

a = 5.1141 Å, b = 5.1141 Å, c = 5.1141 Å
α = 90.00°, β = 90.00°, γ = 90.00°
Positions (direct):
Rb 0.0000 0.0000 0.0000
Li 0.0000 0.0000 0.5000
Li 0.0000 0.5000 0.0000
Li 0.5000 0.0000 0.0000
Ge 0.5000 0.5000 0.5000

As for the size of the total moment: 0.00 μB/atom. The value obtained for the density of states at the Fermi level is 1.36 states/eV/f.u.


Model b:
Entry from Alexandria: a relaxed RbLi3Ge crystal (GGA-PBE).

a = 5.1125 Å, b = 5.1125 Å, c = 5.1125 Å
α = 90.00°, β = 90.00°, γ = 90.00°
Positions (direct):
Rb 0.0000 0.0000 0.0000
Li 0.0000 0.5000 0.5000
Li 0.5000 0.0000 0.5000
Li 0.5000 0.5000 0.0000
Ge 0.5000 0.5000 0.5000

As for the size of the total moment: 0.00 μB/atom. The value obtained for the density of states at the Fermi level is 0.00 states/eV/f.u.


Stability ranking, top entry: model b; the second entry is 101.6 kJ/mol of atoms less favorable.


Model a:
Entry from Alexandria: a relaxed Rb2LiGe2 crystal (GGA-PBE).

a = 8.0688 Å, b = 8.0688 Å, c = 5.5415 Å
α = 90.00°, β = 90.00°, γ = 90.00°
Positions (direct):
Rb 0.1909 0.3091 0.0000
Rb 0.3091 0.8091 0.0000
Rb 0.6909 0.1909 0.0000
Rb 0.8091 0.6909 0.0000
Li 0.0000 0.0000 0.5000
Li 0.5000 0.5000 0.5000
Ge 0.1029 0.6029 0.5000
Ge 0.3971 0.1029 0.5000
Ge 0.6029 0.8971 0.5000
Ge 0.8971 0.3971 0.5000

As for the size of the total moment: 0.00 μB/atom. The value obtained for the density of states at the Fermi level is 2.79 states/eV/f.u.


Model b:
Entry from Alexandria: a relaxed Rb2LiGe2 crystal (GGA-PBE).

a = 10.4772 Å, b = 10.4772 Å, c = 3.3396 Å
α = 90.00°, β = 90.00°, γ = 90.00°
Positions (direct):
Rb 0.2083 0.2917 0.0000
Rb 0.2917 0.7917 0.0000
Rb 0.7083 0.2083 0.0000
Rb 0.7917 0.7083 0.0000
Li 0.0000 0.0000 0.0000
Li 0.5000 0.5000 0.0000
Ge 0.0817 0.5817 0.5000
Ge 0.4183 0.0817 0.5000
Ge 0.5817 0.9183 0.5000
Ge 0.9183 0.4183 0.5000

As for the size of the total moment: 0.00 μB/atom. The value obtained for the density of states at the Fermi level is 2.49 states/eV/f.u.


Model c:
Entry from Alexandria: a relaxed Rb2LiGe2 crystal (GGA-PBE).

a = 12.8924 Å, b = 12.8924 Å, c = 12.8924 Å
α = 162.81°, β = 162.81°, γ = 24.41°
Positions (direct):
Rb 0.1254 0.1254 0.0000
Rb 0.8746 0.8746 0.0000
Li 0.5000 0.5000 0.0000
Ge 0.2500 0.7500 0.5000
Ge 0.7500 0.2500 0.5000

As for the size of the total moment: 0.00 μB/atom. The value obtained for the density of states at the Fermi level is 2.90 states/eV/f.u.


Stability ranking, top entry: model a; the second entry is 12.8 kJ/mol of atoms less favorable.


Model a:
Entry from Alexandria: a relaxed LiReGe2 crystal (GGA-PBE).

a = 4.3692 Å, b = 4.3692 Å, c = 4.3692 Å
α = 60.00°, β = 60.00°, γ = 60.00°
Positions (direct):
Li 0.0000 0.0000 0.0000
Re 0.5000 0.5000 0.5000
Ge 0.2500 0.2500 0.2500
Ge 0.7500 0.7500 0.7500

As for the size of the total moment: 0.00 μB/atom. The value obtained for the density of states at the Fermi level is 2.00 states/eV/f.u.


Model b:
Entry from Alexandria: a relaxed LiReGe2 crystal (GGA-PBE).

a = 8.4819 Å, b = 8.4819 Å, c = 8.4819 Å
α = 144.29°, β = 144.29°, γ = 51.40°
Positions (direct):
Li 0.0000 0.0000 0.0000
Li 0.7500 0.2500 0.5000
Re 0.2500 0.7500 0.5000
Re 0.5000 0.5000 0.0000
Ge 0.2728 0.6250 0.1478
Ge 0.3750 0.5228 0.6478
Ge 0.4772 0.1250 0.8522
Ge 0.8750 0.7272 0.3522

As for the size of the total moment: 0.00 μB/atom. The value obtained for the density of states at the Fermi level is 1.16 states/eV/f.u.


Stability ranking, top entry: model a; the second entry is 44.0 kJ/mol of atoms less favorable.


Model a:
Entry from Alexandria: a relaxed LiReGe2 crystal (GGA-PBE).

a = 8.4077 Å, b = 8.4077 Å, c = 8.4077 Å
α = 20.88°, β = 20.88°, γ = 20.88°
Positions (direct):
Li 0.0000 0.0000 0.0000
Re 0.8365 0.8365 0.8365
Ge 0.2467 0.2467 0.2467
Ge 0.4253 0.4253 0.4253

As for the size of the total moment: 0.00 μB/atom. The value obtained for the density of states at the Fermi level is 1.98 states/eV/f.u.


Model b:
Entry from Alexandria: a relaxed LiReGe2 crystal (GGA-PBE).

a = 9.1085 Å, b = 9.1085 Å, c = 9.1085 Å
α = 19.23°, β = 19.23°, γ = 19.23°
Positions (direct):
Li 0.0000 0.0000 0.0000
Re 0.5000 0.5000 0.5000
Ge 0.0950 0.0950 0.0950
Ge 0.9050 0.9050 0.9050

As for the size of the total moment: 0.00 μB/atom. The value obtained for the density of states at the Fermi level is 2.28 states/eV/f.u.


Model c:
Entry from Alexandria: a relaxed LiReGe2 crystal (GGA-PBE).

a = 3.2248 Å, b = 3.2248 Å, c = 5.6811 Å
α = 90.00°, β = 90.00°, γ = 90.00°
Positions (direct):
Li 0.0000 0.0000 0.0000
Re 0.0000 0.0000 0.5000
Ge 0.5000 0.5000 0.2535
Ge 0.5000 0.5000 0.7465

As for the size of the total moment: 0.00 μB/atom. The value obtained for the density of states at the Fermi level is 0.81 states/eV/f.u.


Stability ranking, top entry: model a; the second entry is 2.1 kJ/mol of atoms less favorable.


Model a:
Entry from Alexandria: a relaxed LiRe3Ge crystal (GGA-PBE).

a = 4.1650 Å, b = 4.1650 Å, c = 4.1650 Å
α = 90.00°, β = 90.00°, γ = 90.00°
Positions (direct):
Li 0.0000 0.0000 0.0000
Re 0.0000 0.0000 0.5000
Re 0.0000 0.5000 0.0000
Re 0.5000 0.0000 0.0000
Ge 0.5000 0.5000 0.5000

As for the size of the total moment: 0.00 μB/atom. The value obtained for the density of states at the Fermi level is 6.54 states/eV/f.u.


Model b:
Entry from Alexandria: a relaxed LiRe3Ge crystal (GGA-PBE).

a = 4.5746 Å, b = 4.5746 Å, c = 4.5746 Å
α = 90.00°, β = 90.00°, γ = 90.00°
Positions (direct):
Li 0.0000 0.0000 0.0000
Re 0.0000 0.5000 0.5000
Re 0.5000 0.0000 0.5000
Re 0.5000 0.5000 0.0000
Ge 0.5000 0.5000 0.5000

As for the size of the total moment: 0.00 μB/atom. The value obtained for the density of states at the Fermi level is 7.37 states/eV/f.u.


Stability ranking, top entry: model a; the second entry is 27.5 kJ/mol of atoms less favorable.


Model a:
Entry from Alexandria: a relaxed Li3GeRh crystal (GGA-PBE).

a = 4.5128 Å, b = 4.5128 Å, c = 4.5128 Å
α = 90.00°, β = 90.00°, γ = 90.00°
Positions (direct):
Li 0.0000 0.0000 0.5000
Li 0.0000 0.5000 0.0000
Li 0.5000 0.0000 0.0000
Ge 0.5000 0.5000 0.5000
Rh 0.0000 0.0000 0.0000

As for the size of the total moment: 0.00 μB/atom. The value obtained for the density of states at the Fermi level is 1.96 states/eV/f.u.


Model b:
Entry from Alexandria: a relaxed Li3GeRh crystal (GGA-PBE).

a = 4.5069 Å, b = 4.5069 Å, c = 4.5069 Å
α = 90.00°, β = 90.00°, γ = 90.00°
Positions (direct):
Li 0.0000 0.0000 0.5000
Li 0.0000 0.5000 0.0000
Li 0.5000 0.0000 0.0000
Ge 0.0000 0.0000 0.0000
Rh 0.5000 0.5000 0.5000

As for the size of the total moment: 0.00 μB/atom. The value obtained for the density of states at the Fermi level is 3.40 states/eV/f.u.


Model c:
Entry from Alexandria: a relaxed Li3GeRh crystal (GGA-PBE).

a = 4.5920 Å, b = 4.7935 Å, c = 7.3078 Å
α = 90.00°, β = 104.63°, γ = 90.00°
Positions (direct):
Li 0.1601 0.0068 0.1738
Li 0.1601 0.4932 0.1738
Li 0.2456 0.7500 0.5311
Li 0.7544 0.2500 0.4689
Li 0.8399 0.5068 0.8262
Li 0.8399 0.9932 0.8262
Ge 0.3212 0.2500 0.7682
Ge 0.6788 0.7500 0.2318
Rh 0.3734 0.7500 0.8963
Rh 0.6266 0.2500 0.1037

As for the size of the total moment: 0.00 μB/atom. The value obtained for the density of states at the Fermi level is 1.49 states/eV/f.u.


Stability ranking, top entry: model c; the second entry is 69.5 kJ/mol of atoms less favorable.


Model a:
Entry from Alexandria: a relaxed Li4GeRh crystal (GGA-PBE).

a = 2.5943 Å, b = 4.3431 Å, c = 7.5591 Å
α = 90.00°, β = 90.12°, γ = 90.00°
Positions (direct):
Li 0.0381 0.0000 0.1699
Li 0.0477 0.5000 0.6625
Li 0.9523 0.5000 0.3375
Li 0.9619 0.0000 0.8301
Ge 0.5000 0.5000 0.0000
Rh 0.5000 0.0000 0.5000

As for the size of the total moment: 0.02 μB/atom. The value obtained for the density of states at the Fermi level is 2.74 states/eV/f.u.


Model b:
Entry from Alexandria: a relaxed Li4GeRh crystal (GGA-PBE).

a = 5.0510 Å, b = 5.0510 Å, c = 4.3706 Å
α = 115.38°, β = 115.38°, γ = 98.67°
Positions (direct):
Li 0.0796 0.4131 0.2463
Li 0.4131 0.0796 0.2463
Li 0.5869 0.9204 0.7537
Li 0.9204 0.5869 0.7537
Ge 0.5000 0.5000 0.0000
Rh 0.0000 0.0000 0.5000

As for the size of the total moment: 0.00 μB/atom. The value obtained for the density of states at the Fermi level is 2.16 states/eV/f.u.


Stability ranking, top entry: model b; the second entry is 13.1 kJ/mol of atoms less favorable.